No. 1
Compound: NpPaCu
Source: Alexandria
Functional: PBE-GGA
Structure: optimized geometry

Summary:
For the energy of formation, the calculation gives 200 meV/atom.

Lattice parameters (Å, degrees): 4.8074 5.5023 8.2698 90.00 90.00 90.00
Atoms (fractional coordinates):
1 Cu 0.5000 0.2500 0.7500
2 Cu 0.5000 0.7500 0.7500
3 Cu 0.0000 0.7500 0.2500
4 Cu 0.0000 0.2500 0.2500
5 Np 0.0000 0.0000 0.5843
6 Np 0.5000 0.5000 0.4158
7 Np 0.5000 0.0000 0.0842
8 Np 0.0000 0.5000 0.9157
9 Pa 0.0000 0.0000 0.9158
10 Pa 0.5000 0.5000 0.0843
11 Pa 0.0000 0.5000 0.5843
12 Pa 0.5000 0.0000 0.4157

---

No. 2
Compound: NpPaCuPt
Source: Alexandria
Functional: PBE-GGA
Structure: optimized geometry

Summary:
As for the crystal system: cubic. As for the symmetry: F-43m (216). For the energy of formation, the calculation gives -359 meV/atom.

Lattice parameters (Å, degrees): 4.7416 4.7416 4.7416 60.00 60.00 60.00
Atoms (fractional coordinates):
1 Cu 0.5000 0.5000 0.5000
2 Pa 0.0000 0.0000 0.0000
3 Pt 0.2500 0.2500 0.2500
4 Np 0.7500 0.7500 0.7500

---

No. 3
Compound: NpPaCuRh
Source: Alexandria
Functional: PBE-GGA
Structure: optimized geometry

Summary:
As for the crystal system: cubic. As for the symmetry: F-43m (216). For the energy of formation, the calculation gives -308 meV/atom.

Lattice parameters (Å, degrees): 4.6618 4.6618 4.6618 60.00 60.00 60.00
Atoms (fractional coordinates):
1 Rh 0.2500 0.2500 0.2500
2 Pa 0.0000 0.0000 0.0000
3 Np 0.7500 0.7500 0.7500
4 Cu 0.5000 0.5000 0.5000

---

No. 4
Compound: NpPa2CuS8
Source: Alexandria
Functional: PBE-GGA
Structure: optimized geometry

Summary:
As for the crystal system: trigonal. As for the symmetry: P-3m1 (164). As for the uncorrected energy: -6.66 eV/atom.

Lattice parameters (Å, degrees): 5.9805 5.9805 7.5782 90.00 90.00 120.00
Atoms (fractional coordinates):
1 Pa 0.6667 0.3333 0.1165
2 Pa 0.3333 0.6667 0.8835
3 S 0.3333 0.6667 0.5551
4 S 0.1716 0.8284 0.1896
5 S 0.8284 0.1716 0.8104
6 S 0.8284 0.6569 0.8104
7 S 0.6569 0.8284 0.1896
8 S 0.6667 0.3333 0.4449
9 S 0.1716 0.3431 0.1896
10 S 0.3431 0.1716 0.8104
11 Np 0.0000 0.0000 0.5000
12 Cu 0.0000 0.0000 0.0000

---

No. 5
Compound: NpCuPb
Source: Alexandria
Functional: PBE-GGA
Structure: optimized geometry

Summary:
As for the crystal system: orthorhombic. As for the symmetry: Pnma (62). For the energy of formation, the calculation gives 161 meV/atom.

Lattice parameters (Å, degrees): 3.4780 8.8149 8.1460 90.00 90.00 90.00
Atoms (fractional coordinates):
1 Pb 0.7500 0.1124 0.6544
2 Pb 0.7500 0.3876 0.1544
3 Pb 0.2500 0.6124 0.8456
4 Pb 0.2500 0.8876 0.3456
5 Np 0.2500 0.4071 0.5006
6 Np 0.7500 0.5929 0.4994
7 Np 0.2500 0.0929 0.0006
8 Np 0.7500 0.9071 0.9994
9 Cu 0.7500 0.3714 0.8212
10 Cu 0.2500 0.8714 0.6788
11 Cu 0.7500 0.1286 0.3212
12 Cu 0.2500 0.6286 0.1788

---

No. 6
Compound: NpCu2Pb2S4
Source: Alexandria
Functional: PBE-GGA
Structure: optimized geometry

Summary:
As for the crystal system: monoclinic. As for the symmetry: C2/m (12). As for the uncorrected energy: -5.57 eV/atom.

Lattice parameters (Å, degrees): 3.8428 7.8012 7.3623 103.55 105.13 90.00
Atoms (fractional coordinates):
1 S 0.5283 0.7757 0.0565
2 S 0.1913 0.1522 0.3826
3 S 0.4717 0.2243 0.9435
4 S 0.8087 0.8478 0.6174
5 Cu 0.6756 0.9760 0.3512
6 Cu 0.3244 0.0240 0.6488
7 Pb 0.8498 0.5124 0.6996
8 Pb 0.1502 0.4876 0.3004
9 Np 0.0000 0.0000 0.0000

---

No. 7
Compound: NpCu2Pb2Se4
Source: Alexandria
Functional: PBE-GGA
Structure: optimized geometry

Summary:
As for the crystal system: monoclinic. As for the symmetry: C2/m (12). As for the uncorrected energy: -5.19 eV/atom.

Lattice parameters (Å, degrees): 3.9572 8.0525 7.6630 106.19 104.96 90.00
Atoms (fractional coordinates):
1 Cu 0.3290 0.0264 0.6579
2 Cu 0.6710 0.9736 0.3421
3 Pb 0.1523 0.4956 0.3046
4 Pb 0.8477 0.5044 0.6954
5 Np 0.0000 0.0000 0.0000
6 Se 0.5191 0.7555 0.0382
7 Se 0.1984 0.1626 0.3968
8 Se 0.4809 0.2445 0.9618
9 Se 0.8016 0.8374 0.6032

---

No. 8
Compound: NpCuPbSe4
Source: Alexandria
Functional: PBE-GGA
Structure: optimized geometry

Summary:
As for the crystal system: monoclinic. As for the symmetry: P2_1/m (11). As for the uncorrected energy: -5.59 eV/atom.

Lattice parameters (Å, degrees): 7.1077 5.7727 8.7436 90.00 107.38 90.00
Atoms (fractional coordinates):
1 Se 0.9779 0.0097 0.2754
2 Se 0.5640 0.2500 0.8688
3 Se 0.0221 0.9903 0.7246
4 Se 0.9779 0.4903 0.2754
5 Se 0.4360 0.7500 0.1312
6 Se 0.4298 0.7500 0.6020
7 Se 0.5702 0.2500 0.3980
8 Se 0.0221 0.5097 0.7246
9 Cu 0.7460 0.2500 0.6758
10 Cu 0.2540 0.7500 0.3242
11 Np 0.7362 0.7500 0.4432
12 Np 0.2638 0.2500 0.5568
13 Pb 0.2796 0.2500 0.0532
14 Pb 0.7204 0.7500 0.9468

---

No. 9
Compound: NpCuTe3Pb
Source: Alexandria
Functional: PBE-GGA
Structure: optimized geometry

Summary:
As for the crystal system: monoclinic. As for the symmetry: P2_1/m (11). As for the uncorrected energy: -5.41 eV/atom.

Lattice parameters (Å, degrees): 4.3035 9.3305 9.6426 104.98 90.00 90.00
Atoms (fractional coordinates):
1 Te 0.2500 0.5639 0.8306
2 Te 0.2500 0.7802 0.4950
3 Te 0.7500 0.2198 0.5050
4 Te 0.7500 0.9049 0.1383
5 Te 0.2500 0.0951 0.8617
6 Te 0.7500 0.4361 0.1694
7 Pb 0.7500 0.8121 0.7708
8 Pb 0.2500 0.1879 0.2292
9 Cu 0.2500 0.0764 0.5730
10 Cu 0.7500 0.9236 0.4270
11 Np 0.7500 0.3238 0.8331
12 Np 0.2500 0.6762 0.1669

---

No. 10
Compound: NpCuPd
Source: Alexandria
Functional: PBE-GGA
Structure: optimized geometry

Summary:
As for the crystal system: hexagonal. As for the symmetry: P-6m2 (187). The calculation puts the excess energy over the best structure of this formula in the dataset at 0.0 kJ per mole of atoms. For the energy of formation, the calculation gives -49 meV/atom.

Lattice parameters (Å, degrees): 2.8971 4.6485 4.6485 120.00 90.00 90.00
Atoms (fractional coordinates):
1 Cu 0.1669 0.0000 0.0000
2 Pd 0.1664 0.6667 0.3333
3 Np 0.6667 0.3333 0.6667

---

No. 11
Compound: NpCuPd4
Source: Alexandria
Functional: PBE-GGA
Structure: optimized geometry

Summary:
As for the crystal system: cubic. As for the symmetry: F-43m (216). For the energy of formation, the calculation gives -151 meV/atom.

Lattice parameters (Å, degrees): 5.2986 5.2986 5.2986 60.00 60.00 60.00
Atoms (fractional coordinates):
1 Pd 0.1235 0.6255 0.6255
2 Pd 0.6255 0.1235 0.6255
3 Pd 0.6255 0.6255 0.1235
4 Pd 0.6255 0.6255 0.6255
5 Np 0.2500 0.2500 0.2500
6 Cu 0.0000 0.0000 0.0000

---

No. 12
Compound: Np2CuPd8
Source: Alexandria
Functional: PBE-GGA
Structure: optimized geometry

Summary:
As for the crystal system: orthorhombic. As for the symmetry: Immm (71). For the energy of formation, the calculation gives -223 meV/atom.

Lattice parameters (Å, degrees): 4.1271 7.9341 7.4494 122.18 106.08 90.00
Atoms (fractional coordinates):
1 Pd 0.6577 0.9162 0.3154
2 Pd 0.6577 0.3992 0.3154
3 Pd 0.3423 0.6008 0.6846
4 Pd 0.0000 0.7799 0.0000
5 Pd 0.8169 0.8169 0.6337
6 Pd 0.1831 0.1831 0.3663
7 Pd 0.3423 0.0838 0.6846
8 Pd 0.0000 0.2201 0.0000
9 Cu 0.5000 0.0000 0.0000
10 Np 0.1499 0.6499 0.2997
11 Np 0.8501 0.3501 0.7003